This record from OQMD via LeMat-Bulk describes KLuNiS3 after structural relaxation. The functional is GGA-PBE.

Cell and atoms, written as CIF:
```
data_KLuNiS3
_symmetry_space_group_name_H-M 'C 1 2/m 1'
_symmetry_Int_Tables_number 12
_symmetry_space_group_name_Hall '-C 2y'
_cell_length_a 15.743
_cell_length_b 3.959
_cell_length_c 8.344
_cell_angle_alpha 90.00
_cell_angle_beta 102.32
_cell_angle_gamma 90.00
loop_
_atom_site_label
_atom_site_fract_x
_atom_site_fract_y
_atom_site_fract_z
K1 0.147 0.000 0.070
Lu1 0.166 0.000 0.585
Ni1 0.002 0.500 0.284
S1 0.000 0.000 0.500
S2 0.000 0.500 0.000
S3 0.146 0.500 0.784
S4 0.159 0.500 0.361
```

## Properties
VASP energy: -121.80 eV per cell
Magnetic moment: 0.47 μB/f.u.
ρ: 4.82 g/cm3

This record from OQMD via LeMat-Bulk describes KLuP2O7 after structural relaxation. The functional is GGA-PBE.

Cell and atoms, written as CIF:
```
data_KLuP2O7
_symmetry_space_group_name_H-M 'P 1 21/c 1'
_symmetry_Int_Tables_number 14
_symmetry_space_group_name_Hall '-P 2ybc'
_cell_length_a 7.456
_cell_length_b 10.679
_cell_length_c 8.459
_cell_angle_alpha 90.00
_cell_angle_beta 106.79
_cell_angle_gamma 90.00
loop_
_atom_site_label
_atom_site_fract_x
_atom_site_fract_y
_atom_site_fract_z
K1 0.180 0.180 0.065
Lu1 0.231 0.596 0.253
P1 0.131 0.600 0.813
P2 0.451 0.645 0.693
O1 0.016 0.004 0.207
O2 0.070 0.729 0.737
O3 0.130 0.594 0.991
O4 0.338 0.612 0.518
O5 0.346 0.576 0.814
O6 0.352 0.089 0.758
O7 0.461 0.716 0.234
```

## Properties
VASP energy: -323.85 eV per cell
Magnetic moment: 0.00 μB/f.u.
ρ: 4.00 g/cm3

This record from OQMD via LeMat-Bulk describes K2LuZrP3O12 after structural relaxation. The functional is GGA-PBE.

Cell and atoms, written as CIF:
```
data_K2LuZrP3O12
_symmetry_space_group_name_H-M 'P 21 3'
_symmetry_Int_Tables_number 198
_symmetry_space_group_name_Hall 'P 2ac 2ab 3'
_cell_length_a 10.274
_cell_length_b 10.274
_cell_length_c 10.274
_cell_angle_alpha 90.00
_cell_angle_beta 90.00
_cell_angle_gamma 90.00
loop_
_atom_site_label
_atom_site_fract_x
_atom_site_fract_y
_atom_site_fract_z
K1 0.072 0.428 0.572
K2 0.205 0.795 0.295
Lu1 0.082 0.582 0.918
Zr1 0.148 0.148 0.148
P1 0.039 0.764 0.626
O1 0.002 0.404 0.844
O2 0.013 0.545 0.291
O3 0.015 0.676 0.743
O4 0.080 0.317 0.242
```

## Properties
VASP energy: -572.27 eV per cell
Magnetic moment: 0.00 μB/f.u.
ρ: 3.85 g/cm3

This record from OQMD via LeMat-Bulk describes K3LuSi2O7 after structural relaxation. The functional is GGA-PBE.

Cell and atoms, written as CIF:
```
data_K3LuSi2O7
_symmetry_space_group_name_H-M 'P 63/m m c'
_symmetry_Int_Tables_number 194
_symmetry_space_group_name_Hall '-P 6c 2c'
_cell_length_a 5.7008
_cell_length_b 5.7008
_cell_length_c 13.9186
_cell_angle_alpha 90.00
_cell_angle_beta 90.00
_cell_angle_gamma 120.00
loop_
_atom_site_label
_atom_site_fract_x
_atom_site_fract_y
_atom_site_fract_z
K1 0.0000 0.0000 0.2500
K2 0.3333 0.6667 0.0921
Lu1 0.0000 0.0000 0.0000
Si1 0.3333 0.6667 0.6312
O1 0.1765 0.3529 0.5950
O2 0.3333 0.6667 0.7500
```

## Properties
VASP energy: -177.43 eV per cell
Magnetic moment: 0.00 μB/f.u.
ρ: 3.90 g/cm3

This record from OQMD via LeMat-Bulk describes KLuOs after structural relaxation. The functional is GGA-PBE.

Cell and atoms, written as CIF:
```
data_KLuOs
_symmetry_space_group_name_H-M 'F -4 3 m'
_symmetry_Int_Tables_number 216
_symmetry_space_group_name_Hall 'F -4 2 3'
_cell_length_a 6.850
_cell_length_b 6.850
_cell_length_c 6.850
_cell_angle_alpha 90.00
_cell_angle_beta 90.00
_cell_angle_gamma 90.00
loop_
_atom_site_label
_atom_site_fract_x
_atom_site_fract_y
_atom_site_fract_z
K1 0.000 0.000 0.000
Lu1 0.000 0.000 0.500
Os1 0.250 0.250 0.250
```

## Properties
Relative energy among the computed polymorphs: 0 meV/atom
Magnetic moment: 0.01 μB/f.u.
ρ: 8.36 g/cm3

This record from OQMD via LeMat-Bulk describes KLuPa after structural relaxation. The functional is GGA-PBE.

Cell and atoms, written as CIF:
```
data_KLuPa
_symmetry_space_group_name_H-M 'F -4 3 m'
_symmetry_Int_Tables_number 216
_symmetry_space_group_name_Hall 'F -4 2 3'
_cell_length_a 8.158
_cell_length_b 8.158
_cell_length_c 8.158
_cell_angle_alpha 90.00
_cell_angle_beta 90.00
_cell_angle_gamma 90.00
loop_
_atom_site_label
_atom_site_fract_x
_atom_site_fract_y
_atom_site_fract_z
K1 0.000 0.000 0.000
Lu1 0.000 0.000 0.500
Pa1 0.250 0.250 0.250
```

## Properties
Relative energy among the computed polymorphs: 0 meV/atom
Magnetic moment: 4.58 μB/f.u.
ρ: 5.45 g/cm3

This record from OQMD via LeMat-Bulk describes KLuPbSe3 after structural relaxation. The functional is GGA-PBE.

Cell and atoms, written as CIF:
```
data_KLuPbSe3
_symmetry_space_group_name_H-M 'P 1 21/m 1'
_symmetry_Int_Tables_number 11
_symmetry_space_group_name_Hall '-P 2yb'
_cell_length_a 7.457
_cell_length_b 4.125
_cell_length_c 11.874
_cell_angle_alpha 90.00
_cell_angle_beta 101.87
_cell_angle_gamma 90.00
loop_
_atom_site_label
_atom_site_fract_x
_atom_site_fract_y
_atom_site_fract_z
K1 0.134 0.250 0.143
Lu1 0.235 0.750 0.459
Pb1 0.376 0.250 0.830
Se1 0.027 0.750 0.631
Se2 0.283 0.750 0.982
Se3 0.447 0.250 0.366
```

## Properties
VASP energy: -53.72 eV per cell
Magnetic moment: 0.00 μB/f.u.
ρ: 6.12 g/cm3

This record from OQMD via LeMat-Bulk describes KLuTe3Pd after structural relaxation. The functional is GGA-PBE.

Cell and atoms, written as CIF:
```
data_KLuTe3Pd
_symmetry_space_group_name_H-M 'C m c m'
_symmetry_Int_Tables_number 63
_symmetry_space_group_name_Hall '-C 2c 2'
_cell_length_a 4.369
_cell_length_b 17.630
_cell_length_c 10.026
_cell_angle_alpha 90.00
_cell_angle_beta 90.00
_cell_angle_gamma 90.00
loop_
_atom_site_label
_atom_site_fract_x
_atom_site_fract_y
_atom_site_fract_z
K1 0.000 0.244 0.250
Lu1 0.000 0.000 0.000
Te1 0.000 0.098 0.750
Te2 0.000 0.388 0.582
Pd1 0.000 0.496 0.250
```

## Properties
Relative energy among the computed polymorphs: 0 meV/atom
Magnetic moment: 0.00 μB/f.u.
ρ: 6.05 g/cm3

This record from OQMD via LeMat-Bulk describes KLuTe3Pd after structural relaxation. The functional is GGA-PBE.

Cell and atoms, written as CIF:
```
data_KLuTe3Pd
_symmetry_space_group_name_H-M 'P 1 21/m 1'
_symmetry_Int_Tables_number 11
_symmetry_space_group_name_Hall '-P 2yb'
_cell_length_a 9.496
_cell_length_b 4.272
_cell_length_c 10.596
_cell_angle_alpha 90.00
_cell_angle_beta 113.81
_cell_angle_gamma 90.00
loop_
_atom_site_label
_atom_site_fract_x
_atom_site_fract_y
_atom_site_fract_z
K1 0.228 0.250 0.254
Lu1 0.315 0.750 0.851
Te1 0.095 0.250 0.860
Te2 0.210 0.750 0.529
Te3 0.461 0.750 0.160
Pd1 0.099 0.250 0.607
```

## Properties
Relative energy among the computed polymorphs: 25 meV/atom
Magnetic moment: 0.00 μB/f.u.
ρ: 5.94 g/cm3

This record from OQMD via LeMat-Bulk describes KLuTe3Pd after structural relaxation. The functional is GGA-PBE.

Cell and atoms, written as CIF:
```
data_KLuTe3Pd
_symmetry_space_group_name_H-M 'P n m a'
_symmetry_Int_Tables_number 62
_symmetry_space_group_name_Hall '-P 2ac 2n'
_cell_length_a 16.317
_cell_length_b 4.273
_cell_length_c 11.250
_cell_angle_alpha 90.00
_cell_angle_beta 90.00
_cell_angle_gamma 90.00
loop_
_atom_site_label
_atom_site_fract_x
_atom_site_fract_y
_atom_site_fract_z
K1 0.232 0.250 0.041
Lu1 0.025 0.250 0.342
Te1 0.081 0.750 0.892
Te2 0.099 0.250 0.585
Te3 0.144 0.750 0.262
Pd1 0.016 0.750 0.110
```

## Properties
Relative energy among the computed polymorphs: 22 meV/atom
Magnetic moment: 0.00 μB/f.u.
ρ: 5.96 g/cm3

This record from OQMD via LeMat-Bulk describes KPrLu after structural relaxation. The functional is GGA-PBE.

Cell and atoms, written as CIF:
```
data_KPrLu
_symmetry_space_group_name_H-M 'F -4 3 m'
_symmetry_Int_Tables_number 216
_symmetry_space_group_name_Hall 'F -4 2 3'
_cell_length_a 8.314
_cell_length_b 8.314
_cell_length_c 8.314
_cell_angle_alpha 90.00
_cell_angle_beta 90.00
_cell_angle_gamma 90.00
loop_
_atom_site_label
_atom_site_fract_x
_atom_site_fract_y
_atom_site_fract_z
K1 0.000 0.000 0.000
Pr1 0.000 0.000 0.500
Lu1 0.250 0.250 0.250
```

## Properties
Relative energy among the computed polymorphs: 0 meV/atom
Magnetic moment: 0.20 μB/f.u.
ρ: 4.10 g/cm3

This record from OQMD via LeMat-Bulk describes KLuPtS3 after structural relaxation. The functional is GGA-PBE.

Cell and atoms, written as CIF:
```
data_KLuPtS3
_symmetry_space_group_name_H-M 'C m c m'
_symmetry_Int_Tables_number 63
_symmetry_space_group_name_Hall '-C 2c 2'
_cell_length_a 3.836
_cell_length_b 14.915
_cell_length_c 9.953
_cell_angle_alpha 90.00
_cell_angle_beta 90.00
_cell_angle_gamma 90.00
loop_
_atom_site_label
_atom_site_fract_x
_atom_site_fract_y
_atom_site_fract_z
K1 0.000 0.245 0.250
Lu1 0.000 0.000 0.000
Pt1 0.000 0.487 0.750
S1 0.000 0.082 0.750
S2 0.000 0.381 0.569
```

## Properties
VASP energy: -124.25 eV per cell
Magnetic moment: 0.01 μB/f.u.
ρ: 5.89 g/cm3